No. 1
First-principles (PBE) data for a relaxed structure of MgSn2Te4, as listed in Alexandria.

Results
Raw formation energy in eV per atom: -0.28

```
data_MgSn2Te4
_space_group_name_H-M_alt 'P -4 2 m'
_space_group_IT_number 111
_space_group_name_Hall 'P -4 2'
_cell_length_a 6.869
_cell_length_b 6.869
_cell_length_c 5.701
_cell_angle_alpha 90.00
_cell_angle_beta 90.00
_cell_angle_gamma 90.00
loop_
_atom_site_label
_atom_site_type_symbol
_atom_site_fract_x
_atom_site_fract_y
_atom_site_fract_z
Mg1 Mg 0.000 0.000 0.000
Sn1 Sn 0.000 0.500 0.500
Te1 Te 0.265 0.265 0.210
```

=====

No. 2
First-principles (PBE) data for a relaxed structure of Tb2Pr6Sc3, as listed in Alexandria.

Results
Formation enthalpy at 0 K in eV per atom: 0.05

```
data_Tb2Pr6Sc3
_space_group_name_H-M_alt 'P -1'
_space_group_IT_number 2
_space_group_name_Hall '-P 1'
_cell_length_a 6.140
_cell_length_b 7.962
_cell_length_c 8.011
_cell_angle_alpha 107.34
_cell_angle_beta 97.70
_cell_angle_gamma 104.98
loop_
_atom_site_label
_atom_site_type_symbol
_atom_site_fract_x
_atom_site_fract_y
_atom_site_fract_z
Tb1 Tb 0.233 0.414 0.052
Pr1 Pr 0.049 0.685 0.410
Pr2 Pr 0.138 0.046 0.237
Pr3 Pr 0.324 0.772 0.867
Sc1 Sc 0.413 0.142 0.680
Sc2 Sc 0.500 0.500 0.500
```

=====

No. 3
First-principles (PBE) data for a relaxed structure of Tl3Bi5Te12, as listed in Alexandria.

Results
Raw formation energy in eV per atom: 0.02

```
data_Tl3Bi5Te12
_space_group_name_H-M_alt 'I a -3 d'
_space_group_IT_number 230
_space_group_name_Hall '-I 4bd 2c 3'
_cell_length_a 18.680
_cell_length_b 18.680
_cell_length_c 18.680
_cell_angle_alpha 90.00
_cell_angle_beta 90.00
_cell_angle_gamma 90.00
loop_
_atom_site_label
_atom_site_type_symbol
_atom_site_fract_x
_atom_site_fract_y
_atom_site_fract_z
Tl1 Tl 0.000 0.250 0.125
Bi1 Bi 0.000 0.000 0.000
Bi2 Bi 0.000 0.250 0.375
Te1 Te 0.024 0.071 0.649
```

=====

No. 4
First-principles (PBE) data for a relaxed structure of La2ZrZn, as listed in Alexandria.

Results
Formation enthalpy at 0 K in eV per atom: 0.05

```
data_La2ZrZn
_space_group_name_H-M_alt 'I -4 m 2'
_space_group_IT_number 119
_space_group_name_Hall 'I -4 -2'
_cell_length_a 4.677
_cell_length_b 4.677
_cell_length_c 9.674
_cell_angle_alpha 90.00
_cell_angle_beta 90.00
_cell_angle_gamma 90.00
loop_
_atom_site_label
_atom_site_type_symbol
_atom_site_fract_x
_atom_site_fract_y
_atom_site_fract_z
La1 La 0.000 0.000 0.000
La2 La 0.000 0.500 0.250
Zr1 Zr 0.000 0.000 0.500
Zn1 Zn 0.000 0.500 0.750
```

=====

No. 5
First-principles (PBE) data for a relaxed structure of NaZnH3, as listed in Alexandria.

Results
Relative energy among the computed polymorphs in kJ per mole of atoms: 87.9

```
data_NaZnH3
_space_group_name_H-M_alt 'P m -3 m'
_space_group_IT_number 221
_space_group_name_Hall '-P 4 2 3'
_cell_length_a 3.834
_cell_length_b 3.834
_cell_length_c 3.834
_cell_angle_alpha 90.00
_cell_angle_beta 90.00
_cell_angle_gamma 90.00
loop_
_atom_site_label
_atom_site_type_symbol
_atom_site_fract_x
_atom_site_fract_y
_atom_site_fract_z
Na1 Na 0.000 0.000 0.000
Zn1 Zn 0.500 0.500 0.500
H1 H 0.000 0.000 0.500
```

=====

No. 6
First-principles (PBE) data for a relaxed structure of Ta2TcHg, as listed in Alexandria.

Results
Formation enthalpy at 0 K in eV per atom: 0.13

```
data_Ta2TcHg
_space_group_name_H-M_alt 'P 4 m m'
_space_group_IT_number 99
_space_group_name_Hall 'P 4 -2'
_cell_length_a 3.248
_cell_length_b 3.248
_cell_length_c 6.829
_cell_angle_alpha 90.00
_cell_angle_beta 90.00
_cell_angle_gamma 90.00
loop_
_atom_site_label
_atom_site_type_symbol
_atom_site_fract_x
_atom_site_fract_y
_atom_site_fract_z
Ta1 Ta 0.000 0.000 0.000
Ta2 Ta 0.500 0.500 0.254
Tc1 Tc 0.000 0.000 0.454
Hg1 Hg 0.500 0.500 0.723
```

=====

| no. | DFT total energy (eV/atom) |
| --- | --- |
| 1 | -3.44 |
| 2 | -5.12 |
| 3 | -3.19 |
| 4 | -4.87 |
| 5 | -1.70 |
| 6 | -8.47 |